1.
# Li2ZrAu

An optimized crystal structure of Li2ZrAu (PBE-GGA, the Alexandria database).

Properties
symmetry: Pm (6)
crystal system: monoclinic
E_tot: -4.101 eV/atom

```
4
Lattice="3.540 0.000 0.000 0.000 2.972 0.341 0.000 2.192 7.223" Properties=species:S:1:pos:R:3 pbc="T T T"
Au 1.770 3.847 5.893
Li 0.000 2.201 7.145
Li 1.770 1.328 1.581
Zr 0.000 2.564 3.948
```

***

2.
# LiZrAu2

An optimized crystal structure of LiZrAu2 (PBE-GGA, the Alexandria database).

Properties
symmetry: C2/m (12)
crystal system: monoclinic
E_tot: -4.557 eV/atom

```
4
Lattice="-3.372 -2.459 1.075 -1.747 -3.833 -0.907 2.889 -3.284 4.646" Properties=species:S:1:pos:R:3 pbc="T T T"
Au 2.777 -3.201 4.498
Au -1.004 -4.870 2.556
Li -1.673 -7.182 3.610
Zr -0.558 -2.394 1.203
```

***

3.
# Li2ZrAu2

An optimized crystal structure of Li2ZrAu2 (PBE-GGA, the Alexandria database).

Properties
symmetry: I4/mmm (139)
crystal system: tetragonal
E_tot: -4.162 eV/atom

```
5
Lattice="3.644 0.000 0.000 0.000 3.644 0.000 1.822 1.822 6.790" Properties=species:S:1:pos:R:3 pbc="T T T"
Au 1.822 1.822 1.422
Au 3.644 3.644 5.367
Zr 0.000 0.000 0.000
Li 3.644 1.822 3.395
Li 1.822 3.644 3.395
```

***

4.
# Li2Zr2Au3

An optimized crystal structure of Li2Zr2Au3 (PBE-GGA, the Alexandria database).

Properties
symmetry: C2/m (12)
crystal system: monoclinic
E_tot: -4.892 eV/atom

```
7
Lattice="3.259 0.002 0.431 0.033 3.282 -0.219 0.084 -0.855 11.925" Properties=species:S:1:pos:R:3 pbc="T T T"
Li 1.921 0.689 10.592
Li 1.454 1.741 1.545
Zr 2.357 0.466 7.267
Zr 1.018 1.964 4.870
Au 2.870 0.201 3.393
Au 0.000 0.000 0.000
Au 0.505 2.229 8.744
```

***

5.
# Li4ZrAu5

An optimized crystal structure of Li4ZrAu5 (PBE-GGA, the Alexandria database).

Properties
symmetry: P4/mmm (123)
crystal system: tetragonal
E_tot: -3.786 eV/atom

```
10
Lattice="-2.865 -0.631 1.116 0.708 -3.056 0.089 5.567 1.734 15.268" Properties=species:S:1:pos:R:3 pbc="T T T"
Li 1.226 0.382 3.361
Li 2.262 0.705 6.204
Li 3.305 1.030 9.064
Li 4.341 1.352 11.907
Zr 0.000 0.000 0.000
Au -0.393 -1.630 2.481
Au 0.659 -1.303 5.366
Au 1.705 -0.977 8.237
Au 2.752 -0.651 11.107
Au 3.804 -0.323 13.992
```

***

6.
# LiZrAu2

An optimized crystal structure of LiZrAu2 (PBE-GGA, the Alexandria database).

Properties
symmetry: Cm (8)
crystal system: monoclinic
E_tot: -4.688 eV/atom

```
4
Lattice="-1.256 4.462 -2.176 -2.785 4.235 0.732 3.284 2.861 1.950" Properties=species:S:1:pos:R:3 pbc="T T T"
Au 0.084 0.093 0.051
Au -0.700 8.510 0.298
Li -0.141 5.860 0.384
Zr -0.380 2.873 0.025
```

***

7.
# LiZrAu2

An optimized crystal structure of LiZrAu2 (PBE-GGA, the Alexandria database).

Properties
symmetry: Fm-3m (225)
crystal system: cubic
E_tot: -4.786 eV/atom

```
4
Lattice="0.000 3.316 3.316 3.316 0.000 3.316 3.316 3.316 0.000" Properties=species:S:1:pos:R:3 pbc="T T T"
Au 1.658 1.658 1.658
Au 4.974 4.974 4.974
Zr 3.316 3.316 3.316
Li 0.000 0.000 0.000
```

***

8.
# Li2ZrAu

An optimized crystal structure of Li2ZrAu (PBE-GGA, the Alexandria database).

Properties
symmetry: C2/m (12)
crystal system: monoclinic
E_tot: -4.092 eV/atom

```
4
Lattice="5.192 -0.021 0.009 4.364 2.813 0.009 0.948 0.277 4.965" Properties=species:S:1:pos:R:3 pbc="T T T"
Au 2.626 0.767 1.246
Li 9.432 2.756 0.179
Li 5.377 1.571 2.331
Zr 7.879 2.302 3.737
```

***

9.
# LiZrAu2

An optimized crystal structure of LiZrAu2 (PBE-GGA, the Alexandria database).

Properties
symmetry: I-42d (122)
crystal system: tetragonal
E_tot: -4.237 eV/atom

```
8
Lattice="-2.088 -3.429 1.497 -1.145 -1.047 -3.994 5.743 -7.084 -2.087" Properties=species:S:1:pos:R:3 pbc="T T T"
Au 0.072 -3.906 -0.146
Au 0.375 -2.993 -2.770
Au 3.048 -7.034 -2.664
Au 1.525 -9.187 -3.589
Zr 0.000 0.000 0.000
Zr 1.019 -6.376 -0.919
Li -1.616 -2.238 -1.249
Li 1.491 -5.184 -3.665
```

***

10.
# Li2ZrAu4

An optimized crystal structure of Li2ZrAu4 (PBE-GGA, the Alexandria database).

Properties
symmetry: I4/mmm (139)
crystal system: tetragonal
E_tot: -4.025 eV/atom

```
7
Lattice="4.084 0.000 -1.302 -0.415 4.063 -1.302 0.218 0.241 7.740" Properties=species:S:1:pos:R:3 pbc="T T T"
Li 2.826 3.130 1.808
Li 1.061 1.175 3.328
Zr 0.000 0.000 0.000
Au 1.310 3.712 4.110
Au 3.560 1.681 4.110
Au 2.577 0.592 1.027
Au 0.327 2.624 1.027
```

***

11.
# Li4Zr2Au

An optimized crystal structure of Li4Zr2Au (PBE-GGA, the Alexandria database).

Properties
symmetry: I4/mmm (139)
crystal system: tetragonal
E_tot: -3.528 eV/atom

```
7
Lattice="4.621 0.000 0.000 0.000 4.621 0.000 2.311 2.311 6.843" Properties=species:S:1:pos:R:3 pbc="T T T"
Au 0.000 0.000 0.000
Zr 4.621 4.621 5.382
Zr 2.311 2.311 1.461
Li 4.621 4.621 2.503
Li 2.311 2.311 4.339
Li 0.000 2.311 0.000
Li 2.311 0.000 0.000
```

***

12.
# Li2ZrAu6

An optimized crystal structure of Li2ZrAu6 (PBE-GGA, the Alexandria database).

Properties
symmetry: C2/c (15)
crystal system: monoclinic
E_tot: -3.984 eV/atom

```
18
Lattice="5.006 0.127 0.493 0.599 7.827 2.387 0.225 -0.005 8.202" Properties=species:S:1:pos:R:3 pbc="T T T"
Li 2.563 4.352 8.007
Li 0.673 1.641 4.233
Li 3.266 3.597 3.075
Li 5.157 6.308 6.848
Zr 1.526 1.062 7.556
Zr 4.304 6.887 3.525
Au 2.880 5.354 5.462
Au 0.535 4.381 4.000
Au 2.950 2.595 5.619
Au 5.295 3.568 7.082
Au 3.452 0.767 3.483
Au 4.779 5.116 9.426
Au 2.378 7.182 7.599
Au 1.050 2.833 1.655
Au 1.962 5.996 2.059
Au 1.645 7.761 4.416
Au 3.867 1.953 9.022
Au 4.185 0.188 6.665
```

***

no.,DOS(E_F) (states/eV/f.u.),formation energy (eV/atom)
1,2.20,-0.19
2,1.97,-0.30
3,2.91,-0.38
4,1.56,-0.50
5,4.68,-0.53
6,1.75,-0.43
7,2.91,-0.53
8,2.22,-0.18
9,2.17,0.02
10,3.36,-0.38
11,5.90,0.48
12,3.60,-0.42